LaAu2I6 after structural relaxation, computed with PBE.

POSCAR file:
```
LaAu2I6
1.0
8.126 -6.785 0.000
8.126 6.785 0.000
-0.855 0.000 7.606
La Au I
2 4 12
Direct
0.100 0.900 0.750
0.900 0.100 0.250
0.336 0.458 0.735
0.458 0.336 0.235
0.542 0.664 0.765
0.664 0.542 0.265
0.048 0.181 0.608
0.130 0.615 0.874
0.181 0.048 0.108
0.277 0.499 0.388
0.385 0.870 0.626
0.499 0.277 0.888
0.501 0.723 0.112
0.615 0.130 0.374
0.723 0.501 0.612
0.819 0.952 0.892
0.870 0.385 0.126
0.952 0.819 0.392
```

Calculated values
symmetry = C2/c, No. 15

***

La3AuI after structural relaxation, computed with PBE.

POSCAR file:
```
La3AuI
1.0
5.886 0.000 0.000
0.000 5.886 0.000
0.000 0.000 5.886
La Au I
3 1 1
Direct
0.000 0.000 0.500
0.000 0.500 0.000
0.500 0.000 0.000
0.000 0.000 0.000
0.500 0.500 0.500
```

Calculated values
energy above the most stable polymorph in this dataset = 0 meV/atom
symmetry = Pm-3m, No. 221

***

La2AuI2 after structural relaxation, computed with PBE.

POSCAR file:
```
La2AuI2
1.0
2.187 1.262 11.836
-2.187 1.262 11.836
0.000 -2.525 11.836
La Au I
2 1 2
Direct
0.116 0.116 0.116
0.884 0.884 0.884
0.500 0.500 0.500
0.278 0.278 0.278
0.722 0.722 0.722
```

Calculated values
energy above the most stable polymorph in this dataset = 0 meV/atom
symmetry = R-3m, No. 166

***

La2Au2I after structural relaxation, computed with PBE.

POSCAR file:
```
La2Au2I
1.0
-2.123 2.123 8.519
2.123 -2.123 8.519
2.123 2.123 -8.519
La Au I
2 2 1
Direct
0.123 0.123 0.000
0.877 0.877 0.000
0.250 0.750 0.500
0.750 0.250 0.500
0.500 0.500 0.000
```

Calculated values
energy above the most stable polymorph in this dataset = 188 meV/atom
symmetry = I4/mmm, No. 139

***

La4AuI5 after structural relaxation, computed with PBE.

POSCAR file:
```
La4AuI5
1.0
9.902 -2.167 0.000
9.902 2.167 0.000
-1.956 0.000 9.200
La Au I
4 1 5
Direct
0.002 0.002 0.220
0.340 0.340 0.928
0.660 0.660 0.072
0.998 0.998 0.780
0.500 0.500 0.000
0.169 0.169 0.337
0.170 0.170 0.811
0.500 0.500 0.500
0.830 0.830 0.189
0.831 0.831 0.663
```

Calculated values
symmetry = C2/m, No. 12

***

La2Au2I after structural relaxation, computed with PBE.

POSCAR file:
```
La2Au2I
1.0
8.603 0.000 0.000
0.000 8.603 0.000
0.000 0.000 3.898
La Au I
4 4 2
Direct
0.168 0.332 0.000
0.332 0.832 0.000
0.668 0.168 0.000
0.832 0.668 0.000
0.123 0.623 0.500
0.377 0.123 0.500
0.623 0.877 0.500
0.877 0.377 0.500
0.000 0.000 0.500
0.500 0.500 0.500
```

Calculated values
energy above the most stable polymorph in this dataset = 53 meV/atom
symmetry = P4/mbm, No. 127

***

| no. | ΔE_f (raw) (eV/atom) |
| --- | --- |
| 1 | -0.647 |
| 2 | -0.270 |
| 3 | -1.147 |
| 4 | -0.689 |
| 5 | -1.233 |
| 6 | -0.825 |